Compound: Pm5Sn8Hg
Source: Alexandria
Functional: GGA-PBE
Structure: relaxed

a b c (Å): 9.6538 9.6538 8.7649
angles (deg): 90.00 90.00 90.00
Last column: nearest neighbours and their distance in Å.
Space group I-4 (No. 82)
Symmetry-distinct sites (fractional):
1 Pm 0.0000 0.0000 0.0000 x2  8 Sn 3.16-3.20
2 Pm 0.1191 0.2864 0.3658 x8  8 Sn 3.16-3.51
3 Sn 0.0592 0.1550 0.6898 x8  5 Pm 3.16-3.51, 2 Sn 3.17-3.20, 1 Hg 3.42
4 Sn 0.0951 0.3173 0.0022 x8  1 Hg 2.97, 4 Pm 3.17-3.25, 1 Sn 3.17
5 Hg 0.0000 0.5000 0.7500 x2  4 Sn 2.97

The calculation puts the total magnetization at 0.00 μB per cell. The formation enthalpy at 0 K is -0.439 eV/atom. The calculation puts the volume at 29.2 Å³ per atom. Its total energy is -124.458 eV for the cell shown.

Compound: PmSnHg
Source: Alexandria
Functional: GGA-PBE
Structure: relaxed

a b c (Å): 4.7997 4.7997 4.0909
angles (deg): 90.00 90.00 120.00
Last column: nearest neighbours and their distance in Å.
Space group P3m1 (No. 156)
Symmetry-distinct sites (fractional):
1 Pm 0.0000 0.0000 0.0000 x1  3 Hg 3.14, 3 Sn 3.27
2 Sn 0.3333 0.6667 0.4241 x1  3 Hg 2.91
3 Hg 0.6667 0.3333 0.6373 x1  3 Sn 2.91, 3 Pm 3.14

The calculation puts the total magnetization at 0.00 μB per cell. The formation enthalpy at 0 K is -0.524 eV/atom. The calculation puts the volume at 27.2 Å³ per atom. Its total energy is -10.627 eV for the cell shown.

Compound: Pm3SnHg2
Source: Alexandria
Functional: GGA-PBE
Structure: relaxed

a b c (Å): 3.7569 3.7569 11.8713
angles (deg): 90.00 90.00 90.00
Last column: nearest neighbours and their distance in Å.
Space group P4/mmm (No. 123)
Symmetry-distinct sites (fractional):
1 Pm 0.0000 0.0000 0.0000 x1  8 Hg 3.25
2 Pm 0.0000 0.0000 0.3286 x2  4 Hg 3.34, 4 Sn 3.35
3 Sn 0.5000 0.5000 0.5000 x1  8 Pm 3.35
4 Hg 0.5000 0.5000 0.1581 x2  8 Pm 3.25-3.34

The calculation puts the total magnetization at 0.11 μB per cell. The formation enthalpy at 0 K is -0.543 eV/atom. The calculation puts the volume at 27.9 Å³ per atom. Its total energy is -22.119 eV for the cell shown.

Compound: PmSnHg3
Source: Alexandria
Functional: GGA-PBE
Structure: relaxed

a b c (Å): 3.4693 29.2521 5.1014
angles (deg): 90.00 90.00 90.00
Last column: nearest neighbours and their distance in Å.
Space group Cmcm (No. 63)
Symmetry-distinct sites (fractional):
1 Pm 0.0000 0.0733 0.2500 x4  12 Hg 3.33-3.42, 2 Pm 3.47
2 Sn 0.0000 0.2215 0.7500 x4  7 Hg 3.06-3.38
3 Hg 0.0000 0.3259 0.7500 x4  2 Hg 2.95, 1 Sn 3.06
4 Hg 0.0000 0.3764 0.2500 x4  3 Hg 2.92-2.95
5 Hg 0.0000 0.4760 0.2500 x4  3 Hg 2.91-2.92

The calculation puts the total magnetization at 0.00 μB per cell. The formation enthalpy at 0 K is -0.223 eV/atom. The calculation puts the volume at 25.9 Å³ per atom. Its total energy is -43.092 eV for the cell shown.